No. 1
Th4RuPb: optimized geometry, PBE-GGA.

Unit cell a=8.652 b=5.813 c=6.991 alpha=90.00 beta=90.00 gamma=90.00
Fractional positions:
1 Th 0.452 0.593 0.000
2 Th 0.823 0.292 0.000
3 Th 0.246 0.170 0.760
4 Th 0.746 0.830 0.740
5 Th 0.323 0.708 0.500
6 Th 0.952 0.407 0.500
7 Th 0.746 0.830 0.260
8 Th 0.246 0.170 0.240
9 Ru 0.527 0.063 0.000
10 Ru 0.027 0.937 0.500
11 Pb 0.079 0.709 0.000
12 Pb 0.579 0.291 0.500

Computed properties:
Formation energy   -0.054 eV per atom
Crystal system   orthorhombic
Space-group type   No. 31

No. 2
RbMgSeBr2: optimized geometry, PBE-GGA.

Unit cell a=6.202 b=6.202 c=6.135 alpha=90.00 beta=90.00 gamma=90.00
Each line ends with the local moment (μB).
Fractional positions:
1 Mg 0.500 0.500 0.500  -0.12
2 Se 0.000 0.000 0.500  0.82
3 Br 0.000 0.500 0.000  0.05
4 Br 0.500 0.000 0.000  0.05
5 Rb 0.000 0.000 0.000  0.03

Computed properties:
Crystal system   tetragonal
Space-group type   No. 123
Formation energy without anion corrections   5 kJ/mol of atoms

No. 3
NaSr2GeRh: optimized geometry, PBE-GGA.

Unit cell a=5.718 b=4.798 c=5.718 alpha=90.00 beta=90.00 gamma=90.00
Fractional positions:
1 Sr 0.000 0.000 0.500
2 Sr 0.500 0.000 0.000
3 Ge 0.000 0.500 0.000
4 Rh 0.500 0.500 0.500
5 Na 0.000 0.000 0.000

Computed properties:
Formation energy   0.718 eV per atom
Crystal system   tetragonal
Space-group type   No. 123

No. 4
MgCd3B: optimized geometry, PBE-GGA.

Unit cell a=4.706 b=4.706 c=4.706 alpha=90.00 beta=90.00 gamma=90.00
Fractional positions:
1 Mg 0.500 0.500 0.500
2 B 0.000 0.000 0.000
3 Cd 0.000 0.500 0.000
4 Cd 0.000 0.000 0.500
5 Cd 0.500 0.000 0.000

Computed properties:
Formation energy   0.475 eV per atom
Crystal system   cubic
Space-group type   No. 221

No. 5
RbY2CdP: optimized geometry, PBE-GGA.

Unit cell a=5.537 b=5.404 c=5.537 alpha=90.00 beta=90.00 gamma=90.00
Fractional positions:
1 Y 0.000 0.000 0.500
2 Y 0.500 0.000 0.000
3 P 0.000 0.500 0.000
4 Rb 0.000 0.000 0.000
5 Cd 0.500 0.500 0.500

Computed properties:
Formation energy   1.336 eV per atom
Crystal system   tetragonal
Space-group type   No. 123

No. 6
Sr3PbN: optimized geometry, PBE-GGA.

Unit cell a=6.447 b=7.472 c=7.469 alpha=120.05 beta=91.04 gamma=90.48
Fractional positions:
1 Pb 0.988 0.989 0.588
2 Pb 0.488 0.323 0.253
3 Sr 0.994 0.962 0.074
4 Sr 0.481 0.350 0.768
5 Sr 0.990 0.503 0.074
6 Sr 0.979 0.503 0.615
7 Sr 0.496 0.809 0.226
8 Sr 0.486 0.809 0.768
9 N 0.738 0.656 0.921
10 N 0.238 0.656 0.921

Computed properties:
Crystal system   triclinic
Space-group type   No. 2
Formation energy without anion corrections   -58 kJ/mol of atoms

No. 7
Ag2GeHSe4: optimized geometry, PBE-GGA.

Unit cell a=7.643 b=7.643 c=7.914 alpha=121.22 beta=121.22 gamma=86.89
Fractional positions:
1 Ag 0.500 0.000 0.000
2 Ag 0.500 0.000 0.500
3 Ag 0.000 0.000 0.500
4 Ag 0.500 0.500 0.000
5 Ge 0.500 0.500 0.500
6 Ge 0.000 0.000 0.000
7 H 0.000 0.500 0.000
8 H 0.000 0.500 0.500
9 Se 0.291 0.793 0.041
10 Se 0.707 0.209 0.459
11 Se 0.293 0.791 0.541
12 Se 0.709 0.207 0.959
13 Se 0.823 0.677 0.991
14 Se 0.823 0.677 0.509
15 Se 0.177 0.323 0.491
16 Se 0.177 0.323 0.009

Computed properties:
Crystal system   orthorhombic
Space-group type   No. 74
Raw total energy   -54.51 eV for the cell shown

No. 8
Li12GePd7: optimized geometry, PBE-GGA.

Unit cell a=7.014 b=7.014 c=7.014 alpha=95.61 beta=95.61 gamma=95.61
Fractional positions:
1 Li 0.773 0.246 0.770
2 Li 0.754 0.230 0.227
3 Li 0.430 0.148 0.430
4 Li 0.852 0.570 0.570
5 Li 0.230 0.227 0.754
6 Li 0.570 0.570 0.852
7 Li 0.430 0.430 0.148
8 Li 0.770 0.773 0.246
9 Li 0.148 0.430 0.430
10 Li 0.570 0.852 0.570
11 Li 0.246 0.770 0.773
12 Li 0.227 0.754 0.230
13 Ge 0.000 0.000 0.000
14 Pd 0.931 0.648 0.933
15 Pd 0.352 0.067 0.069
16 Pd 0.067 0.069 0.352
17 Pd 0.500 0.500 0.500
18 Pd 0.933 0.931 0.648
19 Pd 0.648 0.933 0.931
20 Pd 0.069 0.352 0.067

Computed properties:
Formation energy   -0.271 eV per atom
Crystal system   trigonal
Space-group type   No. 148

No. 9
CrCdGa2Te: optimized geometry, PBE-GGA.

Unit cell a=5.072 b=5.328 c=5.072 alpha=90.00 beta=90.00 gamma=90.00
Each line ends with the local moment (μB).
Fractional positions:
1 Cr 0.000 0.500 0.000  3.95
2 Te 0.500 0.500 0.500  -0.11
3 Ga 0.000 0.000 0.500  -0.01
4 Ga 0.500 0.000 0.000  0.00
5 Cd 0.000 0.000 0.000  0.01

Computed properties:
Crystal system   tetragonal
Space-group type   No. 123
Formation energy without anion corrections   59 kJ/mol of atoms

No. 10
BaSr3Hf: optimized geometry, PBE-GGA.

Unit cell a=6.066 b=6.066 c=6.066 alpha=90.00 beta=90.00 gamma=90.00
Fractional positions:
1 Sr 0.000 0.500 0.000
2 Sr 0.000 0.000 0.500
3 Sr 0.500 0.000 0.000
4 Hf 0.500 0.500 0.500
5 Ba 0.000 0.000 0.000

Computed properties:
Formation energy   1.388 eV per atom
Crystal system   cubic
Space-group type   No. 221

No. 11
Na2SrSbSe4: optimized geometry, PBE-GGA.

Unit cell a=5.971 b=5.971 c=7.477 alpha=113.53 beta=113.53 gamma=90.00
Fractional positions:
1 Na 0.250 0.750 0.500
2 Na 0.000 0.000 0.000
3 Sr 0.500 0.500 0.000
4 Sb 0.750 0.250 0.500
5 Se 0.971 0.471 0.941
6 Se 0.529 0.029 0.059
7 Se 0.754 0.754 0.508
8 Se 0.246 0.246 0.492

Computed properties:
Crystal system   tetragonal
Space-group type   No. 119
Formation energy without anion corrections   -91 kJ/mol of atoms

No. 12
TbScBe17: optimized geometry, PBE-GGA.

Unit cell a=5.758 b=5.758 c=5.758 alpha=83.03 beta=83.03 gamma=83.03
Fractional positions:
1 Tb 0.660 0.660 0.660
2 Sc 0.337 0.337 0.337
3 Be 0.282 0.002 0.716
4 Be 0.716 0.282 0.002
5 Be 0.002 0.716 0.282
6 Be 0.282 0.716 0.002
7 Be 0.002 0.282 0.716
8 Be 0.716 0.002 0.282
9 Be 0.338 0.845 0.338
10 Be 0.338 0.338 0.845
11 Be 0.845 0.338 0.338
12 Be 0.659 0.158 0.659
13 Be 0.659 0.659 0.158
14 Be 0.158 0.659 0.659
15 Be 0.001 0.499 0.001
16 Be 0.001 0.001 0.499
17 Be 0.499 0.001 0.001
18 Be 0.906 0.906 0.906
19 Be 0.098 0.098 0.098

Computed properties:
Formation energy   -0.155 eV per atom
Crystal system   trigonal
Space-group type   No. 160

No. 13
MnRe2Rh: optimized geometry, PBE-GGA.

Unit cell a=8.877 b=8.877 c=8.877 alpha=17.55 beta=17.55 gamma=17.55
Fractional positions:
1 Mn 0.750 0.750 0.750
2 Re 0.003 0.003 0.003
3 Re 0.497 0.497 0.497
4 Rh 0.250 0.250 0.250

Computed properties:
Formation energy   0.039 eV per atom
Crystal system   trigonal
Space-group type   No. 166

No. 14
MgTlCl: optimized geometry, PBE-GGA.

Unit cell a=8.507 b=8.205 c=3.498 alpha=82.82 beta=73.11 gamma=24.08
Fractional positions:
1 Cl 0.953 0.953 0.047
2 Mg 0.356 0.356 0.644
3 Tl 0.691 0.691 0.309

Computed properties:
Crystal system   orthorhombic
Space-group type   No. 42
Formation energy without anion corrections   -66 kJ/mol of atoms

No. 15
TmAgSb2: optimized geometry, PBE-GGA.

Unit cell a=4.179 b=4.790 c=4.790 alpha=90.00 beta=90.00 gamma=90.00
Fractional positions:
1 Sb 0.000 0.000 0.500
2 Sb 0.000 0.500 0.000
3 Tm 0.500 0.500 0.500
4 Ag 0.500 0.000 0.000

Computed properties:
Crystal system   tetragonal
Space-group type   No. 123
Formation energy without anion corrections   -41 kJ/mol of atoms

No. 16
Hf2VCuAs: optimized geometry, PBE-GGA.

Unit cell a=4.840 b=4.555 c=4.840 alpha=90.00 beta=90.00 gamma=90.00
Fractional positions:
1 As 0.000 0.500 0.000
2 Hf 0.000 0.000 0.500
3 Hf 0.500 0.000 0.000
4 Cu 0.500 0.500 0.500
5 V 0.000 0.000 0.000

Computed properties:
Formation energy   0.629 eV per atom
Crystal system   tetragonal
Space-group type   No. 123

No. 17
Li2IBr: optimized geometry, PBE-GGA.

Unit cell a=4.034 b=4.034 c=7.449 alpha=74.29 beta=74.29 gamma=60.00
Fractional positions:
1 Li 0.089 0.089 0.732
2 Li 0.248 0.248 0.257
3 I 0.669 0.669 0.993
4 Br 0.494 0.494 0.517

Computed properties:
Crystal system   trigonal
Space-group type   No. 160
Formation energy without anion corrections   -123 kJ/mol of atoms

No. 18
Ca2TaRu2: optimized geometry, PBE-GGA.

Unit cell a=5.552 b=5.552 c=5.552 alpha=128.89 beta=128.89 gamma=75.19
Fractional positions:
1 Ca 0.641 0.641 0.000
2 Ca 0.359 0.359 0.000
3 Ta 0.000 0.000 0.000
4 Ru 0.250 0.750 0.500
5 Ru 0.750 0.250 0.500

Computed properties:
Formation energy   1.196 eV per atom
Crystal system   tetragonal
Space-group type   No. 139

No. 19
Pm2Ho5Ge4: optimized geometry, PBE-GGA.

Unit cell a=3.479 b=6.944 c=12.934 alpha=86.94 beta=97.73 gamma=90.00
Fractional positions:
1 Pm 0.905 0.707 0.810
2 Pm 0.095 0.293 0.190
3 Ho 0.130 0.795 0.261
4 Ho 0.870 0.205 0.739
5 Ho 0.239 0.241 0.478
6 Ho 0.500 0.000 0.000
7 Ho 0.761 0.759 0.522
8 Ge 0.676 0.497 0.352
9 Ge 0.024 0.657 0.048
10 Ge 0.324 0.503 0.648
11 Ge 0.976 0.343 0.952

Computed properties:
Formation energy   -0.350 eV per atom
Crystal system   monoclinic
Space-group type   No. 12

No. 20
HgIr2W: optimized geometry, PBE-GGA.

Unit cell a=9.490 b=9.490 c=9.490 alpha=17.20 beta=17.20 gamma=17.20
Each line ends with the local moment (μB).
Fractional positions:
1 Hg 0.748 0.748 0.748  0.00
2 Ir 0.996 0.996 0.996  0.16
3 Ir 0.249 0.249 0.249  0.01
4 W 0.506 0.506 0.506  -0.01

Computed properties:
Formation energy   0.311 eV per atom
Crystal system   trigonal
Space-group type   No. 160

No. 21
Na2YCr: optimized geometry, PBE-GGA.

Unit cell a=5.370 b=5.370 c=5.370 alpha=60.00 beta=60.00 gamma=60.00
Each line ends with the local moment (μB).
Fractional positions:
1 Y 0.500 0.500 0.500  -0.02
2 Cr 0.000 0.000 0.000  3.98
3 Na 0.250 0.250 0.250  -0.01
4 Na 0.750 0.750 0.750  -0.01

Computed properties:
Formation energy   0.760 eV per atom
Crystal system   cubic
Space-group type   No. 225

No. 22
Nd3Sm2Ho5: optimized geometry, PBE-GGA.

Unit cell a=6.834 b=12.441 c=12.441 alpha=44.64 beta=74.06 gamma=74.06
Fractional positions:
1 Nd 0.250 0.000 0.000
2 Nd 0.750 0.000 0.000
3 Nd 0.368 0.385 0.880
4 Nd 0.632 0.615 0.120
5 Nd 0.868 0.880 0.385
6 Nd 0.132 0.120 0.615
7 Sm 0.127 0.774 0.971
8 Sm 0.873 0.226 0.029
9 Sm 0.627 0.971 0.774
10 Sm 0.373 0.029 0.226
11 Ho 0.250 0.500 0.500
12 Ho 0.750 0.500 0.500
13 Ho 0.502 0.748 0.748
14 Ho 0.998 0.252 0.252
15 Ho 0.498 0.252 0.252
16 Ho 0.002 0.748 0.748
17 Ho 0.124 0.464 0.287
18 Ho 0.876 0.536 0.713
19 Ho 0.624 0.287 0.464
20 Ho 0.376 0.713 0.536

Computed properties:
Formation energy   0.387 eV per atom
Crystal system   orthorhombic
Space-group type   No. 72

No. 23
BaYSe2: optimized geometry, PBE-GGA.

Unit cell a=7.000 b=7.000 c=8.233 alpha=64.84 beta=64.84 gamma=90.00
Each line ends with the local moment (μB).
Fractional positions:
1 Y 0.500 0.500 0.000  0.24
2 Y 0.250 0.750 0.500  0.24
3 Ba 0.000 0.000 0.000  0.10
4 Ba 0.750 0.250 0.500  0.10
5 Se 0.574 0.125 0.250  -0.01
6 Se 0.176 0.625 0.250  -0.01
7 Se 0.375 0.426 0.750  -0.01
8 Se 0.875 0.824 0.750  -0.01

Computed properties:
Crystal system   tetragonal
Space-group type   No. 122
Formation energy without anion corrections   -149 kJ/mol of atoms

No. 24
Ta4Rh: optimized geometry, PBE-GGA.

Unit cell a=4.763 b=4.763 c=4.763 alpha=90.00 beta=90.00 gamma=90.00
Fractional positions:
1 Rh 0.500 0.500 0.500
2 Ta 0.000 0.000 0.000
3 Ta 0.500 0.000 0.500
4 Ta 0.000 0.500 0.500
5 Ta 0.500 0.500 0.000

Computed properties:
Formation energy   1.218 eV per atom
Crystal system   cubic
Space-group type   No. 221